# 1
{"formula": "SrReHg2", "functional": "PBE-GGA", "state": "relaxed", "lattice": [[3.603, 0.000, 0.000], [0.000, 3.603, 0.000], [0.000, 0.000, 7.078]], "species": ["Sr", "Re", "Hg", "Hg"], "frac_coords": [[0.000, 0.000, 0.000], [0.000, 0.000, 0.500], [0.500, 0.500, 0.296], [0.500, 0.500, 0.704]], "e_tot_ev_per_cell": -12.338, "e_form_ev_per_atom": 0.60, "polymorph_energy_mev_per_atom": 53, "magnetic_moment_mub_per_fu": 0.6, "space_group": "P4/mmm (123)"}

# 2
{"formula": "SrRe2Hg", "functional": "PBE-GGA", "state": "relaxed", "lattice": [[8.131, 0.000, 0.000], [0.000, 3.211, 0.000], [-1.068, 0.000, 7.220]], "species": ["Sr", "Sr", "Re", "Re", "Re", "Re", "Hg", "Hg"], "frac_coords": [[0.000, 0.000, 0.000], [0.500, 0.500, 0.000], [0.008, 0.500, 0.578], [0.231, 0.000, 0.690], [0.508, 0.000, 0.578], [0.731, 0.500, 0.690], [0.261, 0.500, 0.325], [0.761, 0.000, 0.325]], "e_tot_ev_per_cell": -49.220, "e_form_ev_per_atom": 0.57, "magnetic_moment_mub_per_fu": 0.0, "space_group": "Cm (8)"}

# 3
{"formula": "SrRe2Hg", "functional": "PBE-GGA", "state": "relaxed", "lattice": [[5.794, 0.000, 0.000], [0.000, 10.437, 0.000], [-1.081, 0.000, 2.579]], "species": ["Sr", "Sr", "Re", "Re", "Re", "Re", "Hg", "Hg"], "frac_coords": [[0.000, 0.000, 0.000], [0.500, 0.500, 0.000], [0.250, 0.250, 0.500], [0.250, 0.750, 0.500], [0.750, 0.250, 0.500], [0.750, 0.750, 0.500], [0.000, 0.500, 0.000], [0.500, 0.000, 0.000]], "e_tot_ev_per_cell": -45.186, "e_form_ev_per_atom": 1.07, "magnetic_moment_mub_per_fu": 0.0, "space_group": "C2/m (12)"}

# 4
{"formula": "SrRe2Hg", "functional": "PBE-GGA", "state": "relaxed", "lattice": [[2.912, 0.000, 0.000], [0.000, 5.049, 0.000], [0.000, 0.000, 10.814]], "species": ["Sr", "Sr", "Re", "Re", "Re", "Re", "Hg", "Hg"], "frac_coords": [[0.000, 0.000, 0.000], [0.500, 0.500, 0.500], [0.000, 0.500, 0.230], [0.000, 0.500, 0.770], [0.500, 0.000, 0.270], [0.500, 0.000, 0.730], [0.000, 0.000, 0.500], [0.500, 0.500, 0.000]], "e_tot_ev_per_cell": -45.401, "e_form_ev_per_atom": 1.04, "magnetic_moment_mub_per_fu": 0.0, "space_group": "Immm (71)"}

What is the formula in the fourth record? SrRe2Hg